(1)
VASP calculation (PBE-GGA) on LiCrSe2 after structural relaxation.

```
4
Lattice="5.144 0.000 0.000 0.000 3.662 -0.746 0.000 0.747 3.663" Properties=species:S:1:pos:R:3 pbc="T T T"
Se 2.572 1.653 1.094
Se 0.000 3.858 2.553
Cr 0.000 1.653 1.094
Li 2.572 3.858 2.552
```

Summary:
Energy: -5.2420 eV per atom
D(E_F): 1.71 states/eV/cell


(2)
VASP calculation (PBE-GGA) on YFe2SiP after structural relaxation.

```
5
Lattice="-0.869 -1.771 -3.757 -4.717 -1.825 1.952 -1.902 3.582 -1.248" Properties=species:S:1:pos:R:3 pbc="T T T"
P -3.745 -0.007 -1.527
Y -2.359 -0.913 0.976
Fe -0.435 -0.885 -1.879
Fe -0.951 1.791 -0.624
Si 0.000 0.000 0.000
```

Summary:
Energy: -6.5324 eV per atom
D(E_F): 4.77 states/eV/cell


(3)
VASP calculation (PBE-GGA) on RbCr after structural relaxation.

```
32
Lattice="11.203 0.000 0.000 0.000 16.308 0.000 0.000 0.000 6.959" Properties=species:S:1:pos:R:3 pbc="T T T"
Rb 6.525 12.231 1.740
Rb 4.677 4.077 1.740
Rb 9.326 0.000 3.479
Rb 3.725 0.000 0.000
Rb 4.677 12.231 5.219
Rb 1.877 8.154 0.000
Rb 0.924 4.077 1.740
Rb 10.279 4.077 5.219
Rb 7.478 8.154 3.479
Rb 7.478 0.000 0.000
Rb 3.725 8.154 3.479
Rb 0.924 12.231 5.219
Rb 10.279 12.231 1.740
Rb 6.525 4.077 5.219
Rb 9.326 8.154 0.000
Rb 1.877 0.000 3.479
Cr 8.402 13.093 5.219
Cr 5.601 0.862 3.479
Cr 0.000 9.016 3.479
Cr 0.000 15.446 0.000
Cr 5.601 7.292 0.000
Cr 8.402 11.369 5.219
Cr 5.601 9.016 0.000
Cr 2.801 4.939 5.219
Cr 0.000 7.292 3.479
Cr 0.000 0.862 0.000
Cr 8.402 3.215 1.740
Cr 2.801 3.215 5.219
Cr 2.801 13.093 1.740
Cr 8.402 4.939 1.740
Cr 2.801 11.369 1.740
Cr 5.601 15.446 3.479
```

Summary:
Formation energy: 2.612 eV per formula unit
Energy: -3.9896 eV per atom
Energy relative to the lowest polymorph listed for this composition: 480 meV per atom
D(E_F): 18.79 states/eV/cell


(4)
VASP calculation (PBE-GGA) on Pm5SmEr2 after structural relaxation.

```
16
Lattice="-6.671 -6.123 -4.222 4.780 -4.287 -1.336 -1.688 2.774 10.465" Properties=species:S:1:pos:R:3 pbc="T T T"
Pm -2.564 -2.744 5.747
Pm 0.402 -1.223 3.211
Pm -1.015 -4.892 -0.840
Pm 1.114 -3.705 5.895
Pm 0.832 -1.405 -0.563
Pm -4.693 -3.931 -0.988
Pm 1.622 -4.440 1.803
Pm -5.201 -3.196 3.104
Pm -3.981 -6.413 1.696
Pm -2.723 -9.005 -4.995
Er -1.224 -5.907 4.720
Er -0.352 -0.770 7.452
Er -3.227 -6.867 -2.544
Er -2.355 -1.730 0.188
Sm -0.844 1.387 5.233
Sm -1.790 -3.818 2.454
```

Summary:
Formation energy: 1.235 eV per formula unit
Energy: -4.5453 eV per atom
Energy relative to the lowest polymorph listed for this composition: 140 meV per atom
D(E_F): 26.44 states/eV/cell


(5)
VASP calculation (PBE-GGA) on V2CoCS after structural relaxation.

```
5
Lattice="-1.895 -0.734 3.854 3.168 -0.167 1.525 -0.135 4.290 0.751" Properties=species:S:1:pos:R:3 pbc="T T T"
S 0.000 0.000 0.000
V -0.068 2.145 0.375
V -0.947 -0.367 1.927
C 1.584 -0.084 0.763
Co 0.569 1.694 3.065
```

Summary:
Energy: -6.4944 eV per atom
D(E_F): 8.72 states/eV/cell